(1)
This record from the Alexandria database describes an optimized crystal structure of ZrFe2CoB. The functional is PBE-GGA. Values from VASP.

Output
ΔE_f = -0.29 eV/atom

Structure (Quantum ESPRESSO input):
```
&SYSTEM
  ibrav = 0, nat = 5, ntyp = 4
/
ATOMIC_SPECIES
Zr 91.22 Zr.upf
Fe 55.84 Fe.upf
Co 58.93 Co.upf
B 10.81 B.upf
CELL_PARAMETERS angstrom
3.9045 0.0000 0.0000
0.0000 3.9045 0.0000
0.0000 0.0000 3.8763
ATOMIC_POSITIONS crystal
Zr 0.0000 0.0000 0.0000
Fe 0.0000 0.5000 0.5000
Fe 0.5000 0.0000 0.5000
Co 0.5000 0.5000 0.0000
B 0.5000 0.5000 0.5000
```

---

(2)
This record from the Alexandria database describes an optimized crystal structure of GaCo4B. The functional is PBE-GGA. Values from VASP.

Output
ΔE_f = 0.09 eV/atom

Structure (Quantum ESPRESSO input):
```
&SYSTEM
  ibrav = 0, nat = 6, ntyp = 3
/
ATOMIC_SPECIES
Ga 69.72 Ga.upf
Co 58.93 Co.upf
B 10.81 B.upf
CELL_PARAMETERS angstrom
3.4430 0.0000 0.0000
0.0000 3.4430 0.0000
0.0000 0.0000 5.9775
ATOMIC_POSITIONS crystal
Ga 0.0000 0.0000 0.0000
Co 0.0000 0.5000 0.3022
Co 0.0000 0.5000 0.6978
Co 0.5000 0.0000 0.3022
Co 0.5000 0.0000 0.6978
B 0.5000 0.5000 0.5000
```